No. 1
This record from the Alexandria database describes an optimized crystal structure of AlMo2Br. The functional is PBE.

## Properties
DOS at the Fermi energy = 3.45 states/eV/f.u.
space group = P4/mmm, No. 123
size of the total moment = 0.0 Bohr magnetons per cell
formation energy from raw total energies = 0.418 eV/atom

```
data_AlMo2Br
_chemical_formula_sum 'Al1 Mo2 Br1'
_symmetry_space_group_name_H-M 'P 1'
_symmetry_Int_Tables_number 1
_symmetry_space_group_name_Hall 'P 1'
_cell_length_a 3.3305
_cell_length_b 3.3301
_cell_length_c 6.7257
_cell_angle_alpha 90.00
_cell_angle_beta 90.00
_cell_angle_gamma 90.00
loop_
_atom_site_label
_atom_site_type_symbol
_atom_site_fract_x
_atom_site_fract_y
_atom_site_fract_z
_atom_site_occupancy
Br1 Br 0.5000 0.5000 0.7500 1
Al1 Al 0.5000 0.5000 0.2500 1
Mo1 Mo 0.0000 0.0000 0.4284 1
Mo2 Mo 0.0000 0.0000 0.0716 1
```

=====

No. 2
This record from the Alexandria database describes an optimized crystal structure of Al2MoBr. The functional is PBE.

## Properties
DOS at the Fermi energy = 2.39 states/eV/f.u.
space group = R-3m, No. 166
size of the total moment = 0.8 Bohr magnetons per cell
formation energy from raw total energies = 0.064 eV/atom

```
data_Al2MoBr
_chemical_formula_sum 'Al2 Mo1 Br1'
_symmetry_space_group_name_H-M 'P 1'
_symmetry_Int_Tables_number 1
_symmetry_space_group_name_Hall 'P 1'
_cell_length_a 8.4542
_cell_length_b 8.4542
_cell_length_c 8.4542
_cell_angle_alpha 21.68
_cell_angle_beta 21.68
_cell_angle_gamma 21.68
loop_
_atom_site_label
_atom_site_type_symbol
_atom_site_fract_x
_atom_site_fract_y
_atom_site_fract_z
_atom_site_occupancy
Al1 Al 0.4942 0.4942 0.4942 1
Al2 Al 0.0058 0.0058 0.0058 1
Mo1 Mo 0.7500 0.7500 0.7500 1
Br1 Br 0.2500 0.2500 0.2500 1
```

=====

No. 3
This record from the Alexandria database describes an optimized crystal structure of AlMo4Br. The functional is PBE.

## Properties
DOS at the Fermi energy = 4.43 states/eV/f.u.
space group = F-43m, No. 216
size of the total moment = 0.0 Bohr magnetons per cell
formation energy from raw total energies = 0.741 eV/atom

```
data_AlMo4Br
_chemical_formula_sum 'Al1 Mo4 Br1'
_symmetry_space_group_name_H-M 'P 1'
_symmetry_Int_Tables_number 1
_symmetry_space_group_name_Hall 'P 1'
_cell_length_a 5.3055
_cell_length_b 5.3055
_cell_length_c 5.3055
_cell_angle_alpha 60.00
_cell_angle_beta 60.00
_cell_angle_gamma 60.00
loop_
_atom_site_label
_atom_site_type_symbol
_atom_site_fract_x
_atom_site_fract_y
_atom_site_fract_z
_atom_site_occupancy
Al1 Al 0.2500 0.2500 0.2500 1
Br1 Br 0.0000 0.0000 0.0000 1
Mo1 Mo 0.1190 0.6270 0.6270 1
Mo2 Mo 0.6270 0.6270 0.1190 1
Mo3 Mo 0.6270 0.6270 0.6270 1
Mo4 Mo 0.6270 0.1190 0.6270 1
```